{
  "formula": "Tb3ThCd4",
  "functional": "PBE-GGA",
  "state": "relaxed",
  "vol_a3_per_fu": 216,
  "space_group": "Pmma (51)",
  "delta_e_f_kcal_per_mol_atoms": -5.56,
  "m_tot_mub_per_cell": 0.03,
  "lattice": [[5.309, 0.000, 0.000], [0.000, 7.672, 0.000], [0.000, 0.000, 10.618]],
  "species": ["Th", "Th", "Cd", "Cd", "Cd", "Cd", "Cd", "Cd", "Cd", "Cd", "Tb", "Tb", "Tb", "Tb", "Tb", "Tb"],
  "frac_coords": [[0.000, 0.500, 0.000], [0.000, 0.500, 0.500], [0.001, 0.242, 0.750], [0.999, 0.242, 0.250], [0.500, 0.758, 0.000], [0.001, 0.758, 0.750], [0.999, 0.758, 0.250], [0.500, 0.758, 0.500], [0.500, 0.242, 0.000], [0.500, 0.242, 0.500], [0.499, 0.500, 0.250], [0.000, 0.000, 0.500], [0.501, 0.000, 0.750], [0.000, 0.000, 0.000], [0.501, 0.500, 0.750], [0.499, 0.000, 0.250]]
}

---

{
  "formula": "TbTh2Cd",
  "functional": "PBE-GGA",
  "state": "relaxed",
  "vol_a3_per_fu": 118,
  "space_group": "P4/mmm (123)",
  "relative_energy_ev_per_atom": 0.0000,
  "delta_e_f_kcal_per_mol_atoms": -0.58,
  "m_tot_mub_per_cell": 0.00,
  "lattice": [[-3.534, -3.493, 0.885], [3.454, -3.327, 0.666], [0.122, 1.072, 4.720]],
  "species": ["Th", "Th", "Cd", "Tb"],
  "frac_coords": [[0.000, 0.500, 0.000], [0.000, 0.000, 0.500], [0.500, 0.000, 0.000], [0.500, 0.500, 0.500]]
}

---

{
  "formula": "TbTh2Cd",
  "functional": "PBE-GGA",
  "state": "relaxed",
  "vol_a3_per_fu": 119,
  "space_group": "Fm-3m (225)",
  "relative_energy_ev_per_atom": 0.1201,
  "delta_e_f_kcal_per_mol_atoms": 2.19,
  "m_tot_mub_per_cell": 0.00,
  "lattice": [[-4.778, 1.417, 2.386], [-2.004, -3.014, 4.176], [-0.024, 2.057, 5.129]],
  "species": ["Cd", "Tb", "Th", "Th"],
  "frac_coords": [[0.500, 0.500, 0.500], [0.000, 0.000, 0.000], [0.750, 0.750, 0.750], [0.250, 0.250, 0.250]]
}

---

{
  "formula": "Tb5Th4Cd",
  "functional": "PBE-GGA",
  "state": "relaxed",
  "vol_a3_per_fu": 310,
  "space_group": "P4/mmm (123)",
  "delta_e_f_kcal_per_mol_atoms": -0.77,
  "m_tot_mub_per_cell": 0.00,
  "lattice": [[-1.664, -2.648, -1.759], [1.694, -2.418, 2.039], [-18.034, 0.772, 15.897]],
  "species": ["Th", "Th", "Th", "Th", "Tb", "Tb", "Tb", "Tb", "Tb", "Cd"],
  "frac_coords": [[0.000, 0.000, 0.187], [0.000, 0.000, 0.396], [0.000, 0.000, 0.813], [0.000, 0.000, 0.604], [0.500, 0.500, 0.709], [0.500, 0.500, 0.914], [0.500, 0.500, 0.500], [0.500, 0.500, 0.086], [0.500, 0.500, 0.291], [0.000, 0.000, 0.000]]
}

---

{
  "formula": "TbThCd",
  "functional": "PBE-GGA",
  "state": "relaxed",
  "vol_a3_per_fu": 88,
  "space_group": "P3m1 (156)",
  "relative_energy_ev_per_atom": 0.1612,
  "delta_e_f_kcal_per_mol_atoms": 1.03,
  "m_tot_mub_per_cell": 0.00,
  "lattice": [[-0.177, 2.442, -2.565], [-2.639, -3.454, -3.106], [-2.697, 3.246, 3.276]],
  "species": ["Th", "Cd", "Tb"],
  "frac_coords": [[0.975, 0.000, 0.000], [0.604, 0.667, 0.333], [0.421, 0.333, 0.667]]
}

---

{
  "formula": "TbThCd",
  "functional": "PBE-GGA",
  "state": "relaxed",
  "vol_a3_per_fu": 89,
  "space_group": "Fmmm (69)",
  "relative_energy_ev_per_atom": 0.0251,
  "delta_e_f_kcal_per_mol_atoms": -2.11,
  "m_tot_mub_per_cell": 0.00,
  "lattice": [[5.919, -0.191, 0.000], [-3.002, 5.104, 0.000], [-1.458, -2.457, 6.011]],
  "species": ["Tb", "Tb", "Cd", "Cd", "Th", "Th"],
  "frac_coords": [[0.861, 0.861, 0.721], [0.139, 0.139, 0.279], [0.250, 0.750, 0.500], [0.750, 0.250, 0.500], [0.332, 0.668, 0.000], [0.668, 0.332, 0.000]]
}